[1]
# TbY3Er2Bi6, optimized geometry, DFT GGA-PBE
data_TbY3Er2Bi6
_space_group_name_H-M_alt 'C 1 2/m 1'
_space_group_IT_number 12
_cell_length_a 7.749
_cell_length_b 13.424
_cell_length_c 7.743
_cell_angle_alpha 90.00
_cell_angle_beta 109.47
_cell_angle_gamma 90.00
loop_
_space_group_symop_operation_xyz
'x,y,z'
'-x,-y,-z'
'-x,y,-z'
'x,-y,z'
'x+1/2,y+1/2,z'
'-x+1/2,-y+1/2,-z'
'-x+1/2,y+1/2,-z'
'x+1/2,-y+1/2,z'
loop_
_atom_site_label
_atom_site_type_symbol
_atom_site_fract_x
_atom_site_fract_y
_atom_site_fract_z
Tb1 Tb 0.000 0.000 0.000
Y1 Y 0.000 0.166 0.500
Y2 Y 0.000 0.500 0.500
Er1 Er 0.000 0.333 0.000
Bi1 Bi 0.247 0.500 0.248
Bi2 Bi 0.249 0.332 0.751
# Calculated formation energy: -866.0 meV/atom
# Mass density: 8.81 Mg/m³
# Raw total energy: -5.57 eV per atom


[2]
# CdHAuCl, optimized geometry, DFT GGA-PBE
data_CdHAuCl
_space_group_name_H-M_alt 'P 1'
_space_group_IT_number 1
_cell_length_a 3.045
_cell_length_b 3.932
_cell_length_c 7.480
_cell_angle_alpha 98.86
_cell_angle_beta 90.77
_cell_angle_gamma 112.62
loop_
_space_group_symop_operation_xyz
'x,y,z'
loop_
_atom_site_label
_atom_site_type_symbol
_atom_site_fract_x
_atom_site_fract_y
_atom_site_fract_z
Cd1 Cd 0.000 0.000 0.000
H1 H 0.136 0.301 0.594
Au1 Au 0.593 0.207 0.710
Cl1 Cl 0.350 0.684 0.219
# Mass density: 7.05 Mg/m³
# Raw total energy: -2.50 eV per atom


[3]
# FeHgRh, optimized geometry, DFT GGA-PBE
data_FeHgRh
_space_group_name_H-M_alt 'P 4/n m m'
_space_group_IT_number 129
_cell_length_a 3.915
_cell_length_b 3.915
_cell_length_c 6.611
_cell_angle_alpha 90.00
_cell_angle_beta 90.00
_cell_angle_gamma 90.00
loop_
_space_group_symop_operation_xyz
'x,y,z'
'-x,-y,-z'
'-y+1/2,x,z'
'y+1/2,-x,-z'
'-x+1/2,-y+1/2,z'
'x+1/2,y+1/2,-z'
'y,-x+1/2,z'
'-y,x+1/2,-z'
'x+1/2,-y,-z'
'-x+1/2,y,z'
'-y,-x,-z'
'y,x,z'
'-x,y+1/2,-z'
'x,-y+1/2,z'
'y+1/2,x+1/2,-z'
'-y+1/2,-x+1/2,z'
loop_
_atom_site_label
_atom_site_type_symbol
_atom_site_fract_x
_atom_site_fract_y
_atom_site_fract_z
Fe1 Fe 0.250 0.750 0.000
Hg1 Hg 0.250 0.250 0.334
Rh1 Rh 0.250 0.250 0.753
# Calculated formation energy: 188.6 meV/atom
# Mass density: 11.78 Mg/m³
# Raw total energy: -5.18 eV per atom


[4]
# CaHg2Os, optimized geometry, DFT GGA-PBE
data_CaHg2Os
_space_group_name_H-M_alt 'P 1 2/m 1'
_space_group_IT_number 10
_cell_length_a 3.024
_cell_length_b 4.334
_cell_length_c 6.188
_cell_angle_alpha 90.00
_cell_angle_beta 90.23
_cell_angle_gamma 90.00
loop_
_space_group_symop_operation_xyz
'x,y,z'
'-x,-y,-z'
'-x,y,-z'
'x,-y,z'
loop_
_atom_site_label
_atom_site_type_symbol
_atom_site_fract_x
_atom_site_fract_y
_atom_site_fract_z
Ca1 Ca 0.000 0.000 0.000
Hg1 Hg 0.498 0.500 0.731
Os1 Os 0.000 0.000 0.500
# Calculated formation energy: 359.6 meV/atom
# Mass density: 12.93 Mg/m³
# Raw total energy: -3.10 eV per atom